# 1
An optimized crystal structure of CeNd5In3, computed with PBE-GGA.

Results
Formation energy in eV/atom: -0.328
Density in Mg/m³: 7.2

abc: 9.640 9.640 6.883
angles: 90.00 90.00 120.00
Fractional coordinates of all 18 atoms:
Ce1 0.000 0.000 0.000
Ce2 0.000 0.000 0.500
Nd1 0.000 0.328 0.250
Nd2 0.000 0.672 0.750
Nd3 0.328 0.000 0.250
Nd4 0.328 0.328 0.750
Nd5 0.333 0.667 0.000
Nd6 0.333 0.667 0.500
Nd7 0.667 0.333 0.000
Nd8 0.667 0.333 0.500
Nd9 0.672 0.000 0.750
Nd10 0.672 0.672 0.250
In1 0.000 0.337 0.750
In2 0.000 0.663 0.250
In3 0.337 0.000 0.750
In4 0.337 0.337 0.250
In5 0.663 0.000 0.250
In6 0.663 0.663 0.750



# 2
An optimized crystal structure of Ce3NdIn2, computed with PBE-GGA.

Results
Formation energy in eV/atom: -0.299
Density in Mg/m³: 7.8

abc: 6.611 6.711 8.252
angles: 73.71 76.18 78.95
Fractional coordinates of all 12 atoms:
Ce1 0.002 0.354 0.361
Ce2 0.062 0.116 0.671
Ce3 0.391 0.445 0.336
Ce4 0.609 0.555 0.664
Ce5 0.938 0.884 0.329
Ce6 0.998 0.646 0.639
Nd1 0.282 0.221 0.983
Nd2 0.718 0.779 0.017
In1 0.231 0.721 0.975
In2 0.407 0.935 0.364
In3 0.593 0.065 0.636
In4 0.769 0.279 0.025



# 3
An optimized crystal structure of CeNd2In4, computed with PBE-GGA.

Results
Formation energy in eV/atom: -0.268
Density in Mg/m³: 6.8

abc: 8.253 8.253 8.253
angles: 141.37 141.37 55.79
Fractional coordinates of all 7 atoms:
Ce1 0.000 0.000 0.000
Nd1 0.256 0.256 0.000
Nd2 0.744 0.744 0.000
In1 0.114 0.614 0.500
In2 0.386 0.886 0.500
In3 0.614 0.114 0.500
In4 0.886 0.386 0.500



# 4
An optimized crystal structure of CeNdIn, computed with PBE-GGA.

Results
Formation energy in eV/atom: -0.200
Density in Mg/m³: 7.6

abc: 5.833 5.833 5.833
angles: 138.13 138.13 60.71
Fractional coordinates of all 3 atoms:
Ce1 0.000 0.000 0.000
Nd1 0.316 0.316 0.000
In1 0.657 0.657 0.000



# 5
An optimized crystal structure of CeNdIn, computed with PBE-GGA.

Results
Formation energy in eV/atom: -0.302
Density in Mg/m³: 7.6

abc: 3.876 5.246 8.857
angles: 86.56 77.49 89.99
Fractional coordinates of all 6 atoms:
Ce1 0.240 0.321 0.021
Ce2 0.760 0.679 0.979
Nd1 0.430 0.746 0.633
Nd2 0.570 0.254 0.367
In1 0.109 0.767 0.284
In2 0.891 0.233 0.716



# 6
An optimized crystal structure of CeNd5In4, computed with PBE-GGA.

Results
Formation energy in eV/atom: -0.371
Density in Mg/m³: 7.4

abc: 3.642 3.642 22.327
angles: 90.00 90.00 90.00
Fractional coordinates of all 10 atoms:
Ce1 0.000 0.000 0.000
Nd1 0.500 0.500 0.109
Nd2 0.500 0.500 0.304
Nd3 0.500 0.500 0.500
Nd4 0.500 0.500 0.696
Nd5 0.500 0.500 0.891
In1 0.000 0.000 0.205
In2 0.000 0.000 0.402
In3 0.000 0.000 0.598
In4 0.000 0.000 0.795



# 7
An optimized crystal structure of CeNd5In4, computed with PBE-GGA.

Results
Formation energy in eV/atom: -0.097
Density in Mg/m³: 6.4

abc: 8.322 9.293 8.850
angles: 90.00 90.00 90.00
Fractional coordinates of all 20 atoms:
Ce1 0.250 0.250 0.164
Ce2 0.750 0.750 0.836
Nd1 0.008 0.553 0.231
Nd2 0.008 0.947 0.231
Nd3 0.250 0.750 0.581
Nd4 0.492 0.553 0.231
Nd5 0.492 0.947 0.231
Nd6 0.508 0.053 0.769
Nd7 0.508 0.447 0.769
Nd8 0.750 0.250 0.419
Nd9 0.992 0.053 0.769
Nd10 0.992 0.447 0.769
In1 0.087 0.750 0.939
In2 0.250 0.092 0.495
In3 0.250 0.408 0.495
In4 0.413 0.750 0.939
In5 0.587 0.250 0.061
In6 0.750 0.592 0.505
In7 0.750 0.908 0.505
In8 0.913 0.250 0.061



# 8
An optimized crystal structure of Ce2Nd2In3, computed with PBE-GGA.

Results
Formation energy in eV/atom: -0.349
Density in Mg/m³: 7.8

abc: 12.407 12.407 3.397
angles: 90.00 90.00 158.23
Fractional coordinates of all 7 atoms:
Ce1 0.217 0.783 0.000
Ce2 0.783 0.217 0.000
Nd1 0.074 0.926 0.000
Nd2 0.926 0.074 0.000
In1 0.351 0.649 0.500
In2 0.500 0.500 0.500
In3 0.649 0.351 0.500



# 9
An optimized crystal structure of Ce9Nd4In11, computed with PBE-GGA.

Results
Formation energy in eV/atom: -0.324
Density in Mg/m³: 7.6

abc: 14.695 14.695 3.519
angles: 90.00 90.00 116.79
Fractional coordinates of all 24 atoms:
Ce1 0.000 0.000 0.000
Ce2 0.129 0.688 0.000
Ce3 0.301 0.491 0.000
Ce4 0.312 0.871 0.000
Ce5 0.491 0.301 0.000
Ce6 0.509 0.699 0.000
Ce7 0.688 0.129 0.000
Ce8 0.699 0.509 0.000
Ce9 0.871 0.312 0.000
Nd1 0.091 0.269 0.000
Nd2 0.269 0.091 0.000
Nd3 0.731 0.909 0.000
Nd4 0.909 0.731 0.000
In1 0.091 0.469 0.500
In2 0.116 0.884 0.500
In3 0.290 0.290 0.500
In4 0.315 0.685 0.500
In5 0.469 0.091 0.500
In6 0.500 0.500 0.500
In7 0.531 0.909 0.500
In8 0.685 0.315 0.500
In9 0.710 0.710 0.500
In10 0.884 0.116 0.500
In11 0.909 0.531 0.500



# 10
An optimized crystal structure of Ce6NdIn2, computed with PBE-GGA.

Results
Formation energy in eV/atom: -0.121
Density in Mg/m³: 8.2

abc: 9.478 9.478 3.143
angles: 90.00 90.00 120.00
Fractional coordinates of all 9 atoms:
Ce1 0.000 0.352 0.000
Ce2 0.000 0.648 0.000
Ce3 0.352 0.000 0.000
Ce4 0.352 0.352 0.000
Ce5 0.648 0.000 0.000
Ce6 0.648 0.648 0.000
Nd1 0.000 0.000 0.500
In1 0.333 0.667 0.500
In2 0.667 0.333 0.500



# 11
An optimized crystal structure of CeNd2In4, computed with PBE-GGA.

Results
Formation energy in eV/atom: 0.244
Density in Mg/m³: 5.4

abc: 9.004 9.004 9.004
angles: 142.31 142.31 54.36
Fractional coordinates of all 7 atoms:
Ce1 0.000 0.000 0.000
Nd1 0.395 0.395 0.000
Nd2 0.605 0.605 0.000
In1 0.000 0.500 0.500
In2 0.193 0.193 0.000
In3 0.500 0.000 0.500
In4 0.807 0.807 0.000



# 12
An optimized crystal structure of CeNdIn, computed with PBE-GGA.

Results
Formation energy in eV/atom: -0.256
Density in Mg/m³: 7.6

abc: 8.200 8.200 4.667
angles: 90.00 90.00 146.07
Fractional coordinates of all 6 atoms:
Ce1 0.055 0.945 0.750
Ce2 0.945 0.055 0.250
Nd1 0.235 0.765 0.250
Nd2 0.765 0.235 0.750
In1 0.405 0.595 0.750
In2 0.595 0.405 0.250